[1]
Here is a geometry-optimized MnBe2Os structure from Alexandria. Energies are from PBE-GGA.

Lattice parameters (Å, degrees): 7.718 7.718 7.718 19.48 19.48 19.48
Element x y z (fractional)
Mn1 0.000 0.000 0.000
Be1 0.252 0.252 0.252
Be2 0.748 0.748 0.748
Os1 0.500 0.500 0.500

Values from the calculation:
N(E_F)	3.47	states/eV per cell
size of the total moment	0.27	μB/atom
SG	R-3m, No. 166
energy of formation from the pure elements	0.152	eV per atom
VASP energy	-6.8106	eV/atom

[2]
Here is a geometry-optimized Li2PrMg2Au2 structure from Alexandria. Energies are from PBE-GGA.

Lattice parameters (Å, degrees): 8.389 8.389 8.389 32.01 32.01 32.01
Element x y z (fractional)
Li1 0.076 0.076 0.076
Li2 0.924 0.924 0.924
Pr1 0.500 0.500 0.500
Mg1 0.363 0.363 0.363
Mg2 0.637 0.637 0.637
Au1 0.248 0.248 0.248
Au2 0.752 0.752 0.752

Values from the calculation:
N(E_F)	3.38	states/eV per cell
size of the total moment	0.00	μB/atom
SG	R-3m, No. 166
energy of formation from the pure elements	-0.466	eV per atom
VASP energy	-3.0881	eV/atom

[3]
Here is a geometry-optimized Rb2AsNCl6 structure from Alexandria. Energies are from PBE-GGA.

Lattice parameters (Å, degrees): 7.195 7.195 7.195 113.54 113.54 101.61
Element x y z (fractional)
Rb1 0.250 0.750 0.500
Rb2 0.750 0.250 0.500
As1 0.000 0.000 0.000
N1 0.500 0.500 0.000
Cl1 0.222 0.222 0.444
Cl2 0.222 0.778 0.000
Cl3 0.276 0.276 0.000
Cl4 0.724 0.724 0.000
Cl5 0.778 0.222 0.000
Cl6 0.778 0.778 0.556

Values from the calculation:
N(E_F)	0.00	states/eV per cell
size of the total moment	0.20	μB/atom
SG	I4/mmm, No. 139
raw formation energy	-621	meV/atom
VASP energy	-3.2204	eV/atom

[4]
Here is a geometry-optimized TbHo2Al structure from Alexandria. Energies are from PBE-GGA.

Lattice parameters (Å, degrees): 10.591 10.591 10.591 19.38 19.38 19.38
Element x y z (fractional)
Tb1 0.000 0.000 0.000
Ho1 0.240 0.240 0.240
Ho2 0.428 0.428 0.428
Al1 0.834 0.834 0.834

Values from the calculation:
N(E_F)	4.19	states/eV per cell
size of the total moment	0.14	μB/atom
SG	R3m, No. 160
energy of formation from the pure elements	-0.073	eV per atom
VASP energy	-4.4553	eV/atom

[5]
Here is a geometry-optimized Rb3YEr2S6 structure from Alexandria. Energies are from PBE-GGA.

Lattice parameters (Å, degrees): 7.029 7.029 8.032 98.39 98.39 120.00
Element x y z (fractional)
Rb1 0.000 0.000 0.000
Rb2 0.334 0.666 0.000
Rb3 0.666 0.334 0.000
Y1 0.500 0.500 0.500
Er1 0.167 0.833 0.500
Er2 0.833 0.167 0.500
S1 0.100 0.436 0.309
S2 0.228 0.228 0.691
S3 0.436 0.100 0.309
S4 0.564 0.900 0.691
S5 0.772 0.772 0.309
S6 0.900 0.564 0.691

Values from the calculation:
N(E_F)	0.00	states/eV per cell
size of the total moment	0.00	μB/atom
SG	C2/m, No. 12
raw formation energy	-1856	meV/atom
VASP energy	-5.4608	eV/atom

[6]
Here is a geometry-optimized PmEr4Tm structure from Alexandria. Energies are from PBE-GGA.

Lattice parameters (Å, degrees): 11.848 11.848 11.848 152.57 40.78 150.43
Element x y z (fractional)
Pm1 0.000 0.000 0.000
Pm2 0.500 0.000 0.500
Er1 0.090 0.921 0.169
Er2 0.160 0.568 0.592
Er3 0.252 0.921 0.331
Er4 0.476 0.568 0.908
Er5 0.524 0.432 0.092
Er6 0.748 0.079 0.669
Er7 0.840 0.432 0.408
Er8 0.910 0.079 0.831
Tm1 0.329 0.579 0.750
Tm2 0.671 0.421 0.250

Values from the calculation:
N(E_F)	19.49	states/eV per cell
size of the total moment	0.00	μB/atom
SG	Imma, No. 74
energy of formation from the pure elements	0.053	eV per atom
VASP energy	-4.5257	eV/atom

[7]
Here is a geometry-optimized Sc3AsH structure from Alexandria. Energies are from PBE-GGA.

Lattice parameters (Å, degrees): 4.313 4.313 4.313 90.00 90.00 90.00
Element x y z (fractional)
Sc1 0.000 0.000 0.500
Sc2 0.000 0.500 0.000
Sc3 0.500 0.000 0.000
As1 0.500 0.500 0.500
H1 0.000 0.000 0.000

Values from the calculation:
N(E_F)	6.35	states/eV per cell
size of the total moment	0.03	μB/atom
SG	Pm-3m, No. 221
VASP energy	-5.9417	eV/atom

[8]
Here is a geometry-optimized NaIO2 structure from Alexandria. Energies are from PBE-GGA.

Lattice parameters (Å, degrees): 5.202 5.202 5.202 42.80 42.80 42.80
Element x y z (fractional)
Na1 0.000 0.000 0.000
I1 0.500 0.500 0.500
O1 0.227 0.227 0.227
O2 0.773 0.773 0.773

Values from the calculation:
N(E_F)	0.12	states/eV per cell
size of the total moment	0.00	μB/atom
SG	R-3m, No. 166
raw formation energy	-338	meV/atom
VASP energy	-3.5347	eV/atom

Number 7 is which compound?
Sc3AsH

Please write out number 2 again, unchanged.
Here is a geometry-optimized Li2PrMg2Au2 structure from Alexandria. Energies are from PBE-GGA.

Lattice parameters (Å, degrees): 8.389 8.389 8.389 32.01 32.01 32.01
Element x y z (fractional)
Li1 0.076 0.076 0.076
Li2 0.924 0.924 0.924
Pr1 0.500 0.500 0.500
Mg1 0.363 0.363 0.363
Mg2 0.637 0.637 0.637
Au1 0.248 0.248 0.248
Au2 0.752 0.752 0.752

Values from the calculation:
N(E_F)	3.38	states/eV per cell
size of the total moment	0.00	μB/atom
SG	R-3m, No. 166
energy of formation from the pure elements	-0.466	eV per atom
VASP energy	-3.0881	eV/atom